Record 1
# Pa2Ga2Cu (GGA-PBE, optimized geometry)
data_Pa2Ga2Cu
_chemical_formula_sum 'Pa8 Ga8 Cu4'
_space_group_name_H-M_alt 'C m c 21'
_space_group_IT_number 36
_cell_length_a 4.368
_cell_length_b 15.204
_cell_length_c 6.086
_cell_angle_alpha 90.00
_cell_angle_beta 90.00
_cell_angle_gamma 90.00
loop_
_space_group_symop_operation_xyz
'x,y,z'
'-x,-y,z+1/2'
'-x,y,z'
'x,-y,z+1/2'
'x+1/2,y+1/2,z'
'-x+1/2,-y+1/2,z+1/2'
'-x+1/2,y+1/2,z'
'x+1/2,-y+1/2,z+1/2'
loop_
_atom_site_label
_atom_site_type_symbol
_atom_site_fract_x
_atom_site_fract_y
_atom_site_fract_z
Pa1 Pa 0.000 0.025 0.000
Pa2 Pa 0.000 0.204 0.899
Ga1 Ga 0.000 0.167 0.390
Ga2 Ga 0.000 0.404 0.190
Cu1 Cu 0.000 0.399 0.749
# - Energy above the lowest structure with this stoichiometry: 9.3 kJ per mole of atoms
# - Fermi-level density of states: 7.2 states/eV/f.u.
# - Volume: 404 Å³ per cell
# - Formation energy from the elements: -0.119 eV per atom

***

Record 2
# NpPaGe2 (GGA-PBE, optimized geometry)
data_NpPaGe2
_chemical_formula_sum 'Np1 Pa1 Ge2'
_space_group_name_H-M_alt 'P 4/m m m'
_space_group_IT_number 123
_space_group_name_Hall '-P 4 2'
_cell_length_a 3.872
_cell_length_b 3.872
_cell_length_c 5.717
_cell_angle_alpha 90.00
_cell_angle_beta 90.00
_cell_angle_gamma 90.00
loop_
_atom_site_label
_atom_site_type_symbol
_atom_site_fract_x
_atom_site_fract_y
_atom_site_fract_z
Np1 Np 0.000 0.000 0.000
Pa1 Pa 0.000 0.000 0.500
Ge1 Ge 0.500 0.500 0.244
# - Energy above the lowest structure with this stoichiometry: 0.0 kJ per mole of atoms
# - Fermi-level density of states: 8.2 states/eV/f.u.
# - Volume: 86 Å³ per cell
# - Formation energy from the elements: -0.306 eV per atom